An optimized crystal structure of KBe3Pd, computed with PBE.

As for the crystal system: cubic. For the formation energy, the calculation gives 332 meV/atom.

It has space group Pm-3m (No. 221), with a = 4.4675 Å, b = 4.4675 Å, c = 4.4675 Å, α = 90.00°, β = 90.00° and γ = 90.00°. The distinct sites, in fractional coordinates, are K at (0.0000, 0.0000, 0.0000), Be at (0.0000, 0.5000, 0.5000) and Pd at (0.5000, 0.5000, 0.5000).